Record 1
## RhN (PBE-GGA)

Data for a relaxed structure of RhN.

abc: 6.3152 6.3152 6.3152
angles: 90.00 90.00 90.00
Space group I-43m (No. 217)
One atom of each set of equivalent atoms:
Rh1 0.1548 0.1548 0.8452 [8 per cell]
N1 0.1728 0.1728 0.1728 [8 per cell]

The crystal system is cubic. The value obtained for the offset from the most stable computed form is 418 meV/atom. The total magnetization is 0.00 μB per atom.

Record 2
## RuRh3N (PBE-GGA)

Data for a relaxed structure of RuRh3N.

abc: 4.6911 4.6911 4.6911
angles: 90.00 90.00 90.00
Space group Pm-3m (No. 221)
One atom of each set of equivalent atoms:
Ru1 0.0000 0.0000 0.0000 [1 per cell]
Rh1 0.0000 0.0000 0.5000 [3 per cell]
N1 0.5000 0.5000 0.5000 [1 per cell]

The crystal system is cubic. The value obtained for the offset from the most stable computed form is 1933 meV/atom. The total magnetization is 0.60 μB per atom.

Record 3
## RuRh3N (PBE-GGA)

Data for a relaxed structure of RuRh3N.

abc: 4.0438 4.0438 4.0438
angles: 90.00 90.00 90.00
Space group Pm-3m (No. 221)
One atom of each set of equivalent atoms:
Ru1 0.0000 0.0000 0.0000 [1 per cell]
Rh1 0.0000 0.5000 0.5000 [3 per cell]
N1 0.5000 0.5000 0.5000 [1 per cell]

The crystal system is cubic. The value obtained for the offset from the most stable computed form is 0 meV/atom. The total magnetization is 0.00 μB per atom.

Record 4
## RuRhN3 (PBE-GGA)

Data for a relaxed structure of RuRhN3.

abc: 3.8273 3.8273 3.8273
angles: 90.00 90.00 90.00
Space group Pm-3m (No. 221)
One atom of each set of equivalent atoms:
Ru1 0.0000 0.0000 0.0000 [1 per cell]
Rh1 0.5000 0.5000 0.5000 [1 per cell]
N1 0.0000 0.0000 0.5000 [3 per cell]

The crystal system is cubic. The total magnetization is 0.00 μB per atom. Its electronic total energy is -6.786 eV per atom.

Record 5
## RuRhN3 (PBE-GGA)

Data for a relaxed structure of RuRhN3.

abc: 3.8239 3.8239 3.8239
angles: 90.00 90.00 90.00
Space group Pm-3m (No. 221)
One atom of each set of equivalent atoms:
Ru1 0.0000 0.0000 0.0000 [1 per cell]
Rh1 0.5000 0.5000 0.5000 [1 per cell]
N1 0.0000 0.5000 0.5000 [3 per cell]

The crystal system is cubic. The total magnetization is 0.16 μB per atom. Its electronic total energy is -6.392 eV per atom.

Record 6
## RuRhS2N (PBE-GGA)

Data for a relaxed structure of RuRhS2N.

abc: 4.8037 4.8037 3.5873
angles: 90.00 90.00 90.00
Space group P4/mmm (No. 123)
One atom of each set of equivalent atoms:
Ru1 0.0000 0.0000 0.0000 [1 per cell]
Rh1 0.5000 0.5000 0.5000 [1 per cell]
S1 0.0000 0.5000 0.5000 [2 per cell]
N1 0.5000 0.5000 0.0000 [1 per cell]

The crystal system is tetragonal. The value obtained for the offset from the most stable computed form is 266 meV/atom. The total magnetization is 0.42 μB per atom.